[1]
# LaAs3N, relaxed, DFT PBE
# - Fermi-level density of states: 0.495 states/eV/atom
# - Energy relative to the lowest polymorph listed for this composition: 0 meV/atom
data_LaAs3N
_chemical_formula_sum 'La1 As3 N1'
_symmetry_space_group_name_H-M 'P m -3 m'
_symmetry_Int_Tables_number 221
_symmetry_space_group_name_Hall '-P 4 2 3'
_cell_length_a 4.5365
_cell_length_b 4.5365
_cell_length_c 4.5365
_cell_angle_alpha 90.00
_cell_angle_beta 90.00
_cell_angle_gamma 90.00
loop_
_atom_site_label
_atom_site_fract_x
_atom_site_fract_y
_atom_site_fract_z
_atom_site_occupancy
La1 0.0000 0.0000 0.0000 1
As1 0.0000 0.5000 0.5000 1
N1 0.5000 0.5000 0.5000 1

=====

[2]
# BaPa2RhN5, relaxed, DFT PBE
# - Fermi-level density of states: 0.024 states/eV/atom
# - Total energy: -8.775 eV per atom
data_BaPa2RhN5
_chemical_formula_sum 'Ba4 Pa8 Rh4 N20'
_symmetry_space_group_name_H-M 'I 4/m c m'
_symmetry_Int_Tables_number 140
_symmetry_space_group_name_Hall '-I 4 2c'
_cell_length_a 6.6624
_cell_length_b 6.6624
_cell_length_c 11.9918
_cell_angle_alpha 90.00
_cell_angle_beta 90.00
_cell_angle_gamma 90.00
loop_
_atom_site_label
_atom_site_fract_x
_atom_site_fract_y
_atom_site_fract_z
_atom_site_occupancy
Ba1 0.0000 0.0000 0.2500 1
Pa1 0.1811 0.3189 0.0000 1
Rh1 0.0000 0.5000 0.2500 1
N1 0.0000 0.0000 0.0000 1
N2 0.1332 0.3668 0.3803 1

=====

[3]
# Pr3S3Br2, relaxed, DFT PBE
# - Fermi-level density of states: 0.302 states/eV/atom
# - Total energy: -5.374 eV per atom
data_Pr3S3Br2
_chemical_formula_sum 'Pr6 S6 Br4'
_symmetry_space_group_name_H-M 'I m m m'
_symmetry_Int_Tables_number 71
_symmetry_space_group_name_Hall '-I 2 2'
_cell_length_a 3.7800
_cell_length_b 4.7844
_cell_length_c 21.4715
_cell_angle_alpha 90.00
_cell_angle_beta 90.00
_cell_angle_gamma 90.00
loop_
_atom_site_label
_atom_site_fract_x
_atom_site_fract_y
_atom_site_fract_z
_atom_site_occupancy
Pr1 0.0000 0.0000 0.0000 1
Pr2 0.0000 0.5000 0.1479 1
S1 0.0000 0.0000 0.5000 1
S2 0.0000 0.5000 0.3899 1
Br1 0.0000 0.0000 0.2378 1

=====

[4]
# AlTlP, relaxed, DFT PBE
# - Fermi-level density of states: 0.419 states/eV/atom
# - Energy relative to the lowest polymorph listed for this composition: 0 meV/atom
# - DFT formation energy: -12.59 kJ/mol of atoms
data_AlTlP
_chemical_formula_sum 'Al2 Tl2 P2'
_symmetry_space_group_name_H-M 'P 4/n m m'
_symmetry_Int_Tables_number 129
_cell_length_a 4.0672
_cell_length_b 4.0672
_cell_length_c 8.3252
_cell_angle_alpha 90.00
_cell_angle_beta 90.00
_cell_angle_gamma 90.00
loop_
_symmetry_equiv_pos_as_xyz
'x,y,z'
'-x,-y,-z'
'-y+1/2,x,z'
'y+1/2,-x,-z'
'-x+1/2,-y+1/2,z'
'x+1/2,y+1/2,-z'
'y,-x+1/2,z'
'-y,x+1/2,-z'
'x+1/2,-y,-z'
'-x+1/2,y,z'
'-y,-x,-z'
'y,x,z'
'-x,y+1/2,-z'
'x,-y+1/2,z'
'y+1/2,x+1/2,-z'
'-y+1/2,-x+1/2,z'
loop_
_atom_site_label
_atom_site_fract_x
_atom_site_fract_y
_atom_site_fract_z
_atom_site_occupancy
Al1 0.2500 0.7500 0.0000 1
Tl1 0.2500 0.2500 0.3919 1
P1 0.2500 0.2500 0.8339 1

=====

[5]
# Ba2AlCd12Ag3, relaxed, DFT PBE
# - Fermi-level density of states: 0.487 states/eV/atom
# - DFT formation energy: -1.36 kJ/mol of atoms
data_Ba2AlCd12Ag3
_chemical_formula_sum 'Ba6 Al3 Cd36 Ag9'
_symmetry_space_group_name_H-M 'R -3 m'
_symmetry_Int_Tables_number 166
_symmetry_space_group_name_Hall '-R 3 2"'
_cell_length_a 6.8028
_cell_length_b 6.8028
_cell_length_c 36.2162
_cell_angle_alpha 90.00
_cell_angle_beta 90.00
_cell_angle_gamma 120.00
loop_
_atom_site_label
_atom_site_fract_x
_atom_site_fract_y
_atom_site_fract_z
_atom_site_occupancy
Ba1 0.0000 0.0000 0.1416 1
Al1 0.0000 0.0000 0.5000 1
Cd1 0.0124 0.5062 0.1060 1
Cd2 0.0453 0.5226 0.6161 1
Ag1 0.0000 0.5000 0.0000 1

=====

[6]
# Zr2ScHgH, relaxed, DFT PBE
# - Fermi-level density of states: 0.847 states/eV/atom
# - Energy relative to the lowest polymorph listed for this composition: 135 meV/atom
data_Zr2ScHgH
_chemical_formula_sum 'Zr2 Sc1 Hg1 H1'
_symmetry_space_group_name_H-M 'P 4/m m m'
_symmetry_Int_Tables_number 123
_symmetry_space_group_name_Hall '-P 4 2'
_cell_length_a 4.2537
_cell_length_b 4.2537
_cell_length_c 5.0286
_cell_angle_alpha 90.00
_cell_angle_beta 90.00
_cell_angle_gamma 90.00
loop_
_atom_site_label
_atom_site_fract_x
_atom_site_fract_y
_atom_site_fract_z
_atom_site_occupancy
Zr1 0.0000 0.5000 0.0000 1
Sc1 0.0000 0.0000 0.5000 1
Hg1 0.5000 0.5000 0.5000 1
H1 0.5000 0.5000 0.0000 1